# 1
# Pm2ScIn2 GGA-PBE optimized geometry
# Energy of formation from the pure elements ... -7.348 kcal/mol of atoms
data_Pm2ScIn2
_cell_length_a 4.8158
_cell_length_b 17.7090
_cell_length_c 6.5076
_cell_angle_alpha 90.00
_cell_angle_beta 90.00
_cell_angle_gamma 90.00
_space_group_name_H-M_alt 'C m c 21'
_space_group_IT_number 36
_space_group_name_Hall 'C 2c -2'
loop_
_atom_site_label
_atom_site_fract_x
_atom_site_fract_y
_atom_site_fract_z
Pm1 0.0000 0.0013 0.0000
Pm2 0.0000 0.2065 0.9914
Sc1 0.0000 0.3921 0.7516
In1 0.0000 0.1797 0.4933
In2 0.0000 0.4019 0.2523

# 2
# InFePd4 GGA-PBE optimized geometry
# Energy of formation from the pure elements ... -5.609 kcal/mol of atoms
data_InFePd4
_cell_length_a 4.7750
_cell_length_b 8.6172
_cell_length_c 4.7564
_cell_angle_alpha 90.00
_cell_angle_beta 105.62
_cell_angle_gamma 90.00
_space_group_name_H-M_alt 'C 1 2/m 1'
_space_group_IT_number 12
_space_group_name_Hall '-C 2y'
loop_
_atom_site_label
_atom_site_fract_x
_atom_site_fract_y
_atom_site_fract_z
In1 0.0000 0.0000 0.0000
Fe1 0.0000 0.5000 0.5000
Pd1 0.0000 0.1654 0.5000
Pd2 0.0000 0.3392 0.0000

# 3
# NaGaPb GGA-PBE optimized geometry
# Energy of formation from the pure elements ... -1.165 kcal/mol of atoms
data_NaGaPb
_cell_length_a 5.8901
_cell_length_b 4.2578
_cell_length_c 7.0239
_cell_angle_alpha 90.00
_cell_angle_beta 110.10
_cell_angle_gamma 90.00
_space_group_name_H-M_alt 'P 1 m 1'
_space_group_IT_number 6
_space_group_name_Hall 'P -2y'
loop_
_atom_site_label
_atom_site_fract_x
_atom_site_fract_y
_atom_site_fract_z
Na1 0.0000 0.0000 0.0000
Na2 0.4052 0.0000 0.7464
Ga1 0.7456 0.5000 0.6272
Ga2 0.8246 0.0000 0.4460
Pb1 0.1748 0.5000 0.3890
Pb2 0.5663 0.5000 0.1454

# 4
# Al2HgTeS6 GGA-PBE optimized geometry
# DFT total energy ... -161.36 eV per cell
data_Al2HgTeS6
_cell_length_a 12.9630
_cell_length_b 11.0308
_cell_length_c 7.3132
_cell_angle_alpha 90.00
_cell_angle_beta 108.82
_cell_angle_gamma 90.00
_space_group_name_H-M_alt 'C 1 2/c 1'
_space_group_IT_number 15
_space_group_name_Hall '-C 2yc'
loop_
_atom_site_label
_atom_site_fract_x
_atom_site_fract_y
_atom_site_fract_z
Al1 0.2127 0.0816 0.1935
Hg1 0.0000 0.2683 0.2500
Te1 0.0000 0.2561 0.7500
S1 0.1061 0.3977 0.6313
S2 0.1436 0.0356 0.4326
S3 0.1452 0.2764 0.1076